Computed, not measured: a relaxed MnAl2Pt3 crystal at the PBE level of DFT.

Cell lengths 2.9531, 2.9531, 10.2138 Å; angles 90.00, 90.00, 90.00 degrees
Last column: nearest neighbours and their distance in Å.
Element x y z (fractional)
Mn 0.5000 0.5000 0.5000  8 Pt 2.78, 4 Mn 2.95
Al 0.5000 0.5000 0.8352  8 Pt 2.62-2.68
Al 0.5000 0.5000 0.1648  8 Pt 2.62-2.68
Pt 0.0000 0.0000 0.0000  8 Al 2.68, 4 Pt 2.95
Pt 0.0000 0.0000 0.6804  4 Al 2.62, 4 Mn 2.78
Pt 0.0000 0.0000 0.3196  4 Al 2.62, 4 Mn 2.78

M_tot: 4.5 μB/cell
Polymorph energy (0 for the lowest one): 2.07 kJ per mole of atoms
E_form: -0.790 eV/atom